Entry from Alexandria via LeMat-Bulk: an optimized crystal structure of CdFeTc2Ir (PBE).

Calculated values
* DFT formation energy: 5.83 eV per formula unit

Cell lengths 4.397, 4.397, 4.563 Å; angles 90.00, 90.00, 90.00 degrees
Element x y z (fractional)
Cd1 0.000 0.000 0.000
Fe1 0.500 0.500 0.500
Tc1 0.000 0.500 0.500
Tc2 0.500 0.000 0.500
Ir1 0.500 0.500 0.000

***

Entry from Alexandria via LeMat-Bulk: an optimized crystal structure of CaAl3Cr (PBE).

Calculated values
* DFT formation energy: 9.96 eV per formula unit
* energy above the lowest structure with this stoichiometry: 9.901 eV per formula unit

Cell lengths 5.324, 5.324, 5.324 Å; angles 90.00, 90.00, 90.00 degrees
Element x y z (fractional)
Ca1 0.000 0.000 0.000
Al1 0.000 0.000 0.500
Al2 0.000 0.500 0.000
Al3 0.500 0.000 0.000
Cr1 0.500 0.500 0.500

***

Entry from Alexandria via LeMat-Bulk: an optimized crystal structure of Ac4NdCu3O12 (PBE).

Calculated values
* ΔE_f (raw): -2173 meV per atom

Cell lengths 7.056, 7.056, 7.056 Å; angles 109.47, 109.47, 109.47 degrees
Element x y z (fractional)
Ac1 0.000 0.000 0.500
Ac2 0.000 0.500 0.000
Ac3 0.500 0.000 0.000
Ac4 0.500 0.500 0.500
Nd1 0.000 0.000 0.000
Cu1 0.000 0.500 0.500
Cu2 0.500 0.000 0.500
Cu3 0.500 0.500 0.000
O1 0.000 0.271 0.271
O2 0.000 0.729 0.729
O3 0.250 0.500 0.750
O4 0.250 0.750 0.500
O5 0.271 0.000 0.271
O6 0.271 0.271 0.000
O7 0.500 0.250 0.750
O8 0.500 0.750 0.250
O9 0.729 0.000 0.729
O10 0.729 0.729 0.000
O11 0.750 0.250 0.500
O12 0.750 0.500 0.250

***

Entry from Alexandria via LeMat-Bulk: an optimized crystal structure of Ac2HoIrO8 (PBE).

Calculated values
* ΔE_f (raw): -2229 meV per atom

Cell lengths 4.594, 7.231, 5.547 Å; angles 90.00, 96.56, 90.00 degrees
Element x y z (fractional)
Ac1 0.000 0.243 0.000
Ac2 0.000 0.757 0.000
Ho1 0.500 0.500 0.500
Ir1 0.500 0.000 0.500
O1 0.094 0.500 0.253
O2 0.123 0.000 0.344
O3 0.422 0.211 0.720
O4 0.422 0.789 0.720
O5 0.578 0.211 0.280
O6 0.578 0.789 0.280
O7 0.877 0.000 0.656
O8 0.906 0.500 0.747

***

Entry from Alexandria via LeMat-Bulk: an optimized crystal structure of GdMgScPt (PBE).

Calculated values
* DFT formation energy: -2.29 eV per formula unit

Cell lengths 7.027, 7.027, 7.027 Å; angles 90.00, 90.00, 90.00 degrees
Element x y z (fractional)
Gd1 0.000 0.000 0.000
Gd2 0.000 0.500 0.500
Gd3 0.500 0.000 0.500
Gd4 0.500 0.500 0.000
Mg1 0.250 0.250 0.250
Mg2 0.250 0.750 0.750
Mg3 0.750 0.250 0.750
Mg4 0.750 0.750 0.250
Sc1 0.000 0.000 0.500
Sc2 0.000 0.500 0.000
Sc3 0.500 0.000 0.000
Sc4 0.500 0.500 0.500
Pt1 0.250 0.250 0.750
Pt2 0.250 0.750 0.250
Pt3 0.750 0.250 0.250
Pt4 0.750 0.750 0.750

***

Entry from Alexandria via LeMat-Bulk: an optimized crystal structure of Mn2N (PBE).

Calculated values
* ΔE_f (raw): 744 meV per atom

Cell lengths 4.022, 4.666, 3.623 Å; angles 90.00, 122.69, 90.00 degrees
Element x y z (fractional)
Mn1 0.172 0.000 0.356
Mn2 0.328 0.500 0.644
Mn3 0.672 0.500 0.356
Mn4 0.828 0.000 0.644
N1 0.000 0.500 0.000
N2 0.500 0.000 0.000

***

Entry from Alexandria via LeMat-Bulk: an optimized crystal structure of Nd2TaGeN5 (PBE).

Calculated values
* ΔE_f (raw): -969 meV per atom

Cell lengths 7.466, 7.466, 10.184 Å; angles 90.00, 90.00, 154.84 degrees
Element x y z (fractional)
Nd1 0.112 0.888 0.500
Nd2 0.126 0.874 0.115
Nd3 0.874 0.126 0.615
Nd4 0.888 0.112 0.000
Ta1 0.219 0.781 0.828
Ta2 0.781 0.219 0.328
Ge1 0.449 0.551 0.264
Ge2 0.551 0.449 0.764
N1 0.048 0.952 0.862
N2 0.287 0.713 0.460
N3 0.319 0.681 0.193
N4 0.350 0.650 0.812
N5 0.499 0.501 0.599
N6 0.501 0.499 0.099
N7 0.650 0.350 0.312
N8 0.681 0.319 0.693
N9 0.713 0.287 0.960
N10 0.952 0.048 0.362

***

Entry from Alexandria via LeMat-Bulk: an optimized crystal structure of BaBeSb2I (PBE).

Calculated values
* energy above the lowest structure with this stoichiometry: 6.511 eV per formula unit
* ΔE_f (raw): 976 meV per atom

Cell lengths 6.733, 6.733, 6.649 Å; angles 90.00, 90.00, 90.00 degrees
Element x y z (fractional)
Ba1 0.000 0.000 0.000
Be1 0.500 0.500 0.500
Sb1 0.000 0.500 0.000
Sb2 0.500 0.000 0.000
I1 0.000 0.000 0.500

***

Entry from Alexandria via LeMat-Bulk: an optimized crystal structure of TlAgS2 (PBE).

Calculated values
* ΔE_f (raw): -136 meV per atom

Cell lengths 7.279, 8.439, 6.886 Å; angles 90.00, 90.00, 90.00 degrees
Element x y z (fractional)
Tl1 0.080 0.126 0.000
Tl2 0.420 0.626 0.500
Tl3 0.580 0.374 0.000
Tl4 0.920 0.874 0.500
Ag1 0.086 0.625 0.999
Ag2 0.414 0.125 0.499
Ag3 0.586 0.875 0.999
Ag4 0.914 0.375 0.499
S1 0.082 0.128 0.622
S2 0.084 0.621 0.626
S3 0.416 0.121 0.126
S4 0.418 0.628 0.122
S5 0.582 0.372 0.622
S6 0.584 0.879 0.626
S7 0.916 0.379 0.126
S8 0.918 0.872 0.122

***

Entry from Alexandria via LeMat-Bulk: an optimized crystal structure of LiSn3Br7 (PBE).

Calculated values
* ΔE_f (raw): -808 meV per atom

Cell lengths 7.211, 7.211, 8.718 Å; angles 112.01, 112.01, 94.03 degrees
Element x y z (fractional)
Li1 0.000 0.000 0.000
Sn1 0.272 0.728 0.500
Sn2 0.500 0.500 0.000
Sn3 0.728 0.272 0.500
Br1 0.000 0.000 0.500
Br2 0.141 0.599 0.749
Br3 0.306 0.306 0.170
Br4 0.401 0.859 0.251
Br5 0.599 0.141 0.749
Br6 0.694 0.694 0.830
Br7 0.859 0.401 0.251

***

Entry from Alexandria via LeMat-Bulk: an optimized crystal structure of Ac2TlTeSe4 (PBE).

Calculated values
* ΔE_f (raw): -1187 meV per atom

Cell lengths 8.135, 8.135, 15.568 Å; angles 90.00, 90.00, 147.93 degrees
Element x y z (fractional)
Ac1 0.130 0.870 0.563
Ac2 0.130 0.870 0.937
Ac3 0.870 0.130 0.063
Ac4 0.870 0.130 0.437
Tl1 0.339 0.661 0.750
Tl2 0.661 0.339 0.250
Te1 0.411 0.589 0.250
Te2 0.589 0.411 0.750
Se1 0.001 0.999 0.750
Se2 0.232 0.768 0.103
Se3 0.232 0.768 0.397
Se4 0.500 0.500 0.000
Se5 0.500 0.500 0.500
Se6 0.768 0.232 0.603
Se7 0.768 0.232 0.897
Se8 0.999 0.001 0.250

***

Entry from Alexandria via LeMat-Bulk: an optimized crystal structure of ZrUN (PBE).

Calculated values
* ΔE_f (raw): -973 meV per atom

Cell lengths 5.166, 3.347, 5.719 Å; angles 90.00, 100.07, 90.00 degrees
Element x y z (fractional)
Zr1 0.232 0.250 0.448
Zr2 0.768 0.750 0.552
U1 0.306 0.750 0.962
U2 0.694 0.250 0.038
N1 0.007 0.250 0.772
N2 0.993 0.750 0.228

***

Entry from Alexandria via LeMat-Bulk: an optimized crystal structure of In2TeS4 (PBE).

Calculated values
* ΔE_f (raw): -359 meV per atom

Cell lengths 7.551, 7.551, 6.869 Å; angles 90.00, 90.00, 90.00 degrees
Element x y z (fractional)
In1 0.000 0.500 0.250
In2 0.000 0.500 0.750
In3 0.500 0.000 0.250
In4 0.500 0.000 0.750
Te1 0.000 0.000 0.000
Te2 0.500 0.500 0.500
S1 0.164 0.681 0.000
S2 0.181 0.336 0.500
S3 0.319 0.164 0.000
S4 0.336 0.819 0.500
S5 0.664 0.181 0.500
S6 0.681 0.836 0.000
S7 0.819 0.664 0.500
S8 0.836 0.319 0.000

***

Entry from Alexandria via LeMat-Bulk: an optimized crystal structure of AcPu2Pb3 (PBE).

Calculated values
* DFT formation energy: -1.43 eV per formula unit

Cell lengths 3.590, 3.590, 14.106 Å; angles 90.00, 90.00, 90.00 degrees
Element x y z (fractional)
Ac1 0.000 0.000 0.000
Pu1 0.000 0.000 0.339
Pu2 0.000 0.000 0.661
Pb1 0.500 0.500 0.179
Pb2 0.500 0.500 0.500
Pb3 0.500 0.500 0.821

***

Entry from Alexandria via LeMat-Bulk: an optimized crystal structure of CaZrAlCd2 (PBE).

Calculated values
* DFT formation energy: 5.06 eV per formula unit

Cell lengths 5.564, 5.564, 5.881 Å; angles 90.00, 90.00, 90.00 degrees
Element x y z (fractional)
Ca1 0.000 0.000 0.000
Zr1 0.000 0.000 0.500
Al1 0.500 0.500 0.000
Cd1 0.000 0.500 0.500
Cd2 0.500 0.000 0.500

***

Entry from Alexandria via LeMat-Bulk: an optimized crystal structure of PWICl2 (PBE).

Calculated values
* energy above the lowest structure with this stoichiometry: 7.871 eV per formula unit
* ΔE_f (raw): 1753 meV per atom

Cell lengths 5.263, 5.263, 5.470 Å; angles 90.00, 90.00, 90.00 degrees
Element x y z (fractional)
P1 0.000 0.000 0.000
W1 0.500 0.500 0.000
I1 0.000 0.000 0.500
Cl1 0.000 0.500 0.500
Cl2 0.500 0.000 0.500

***

Entry from Alexandria via LeMat-Bulk: an optimized crystal structure of SrCa2RuO6 (PBE).

Calculated values
* ΔE_f (raw): -2108 meV per atom

Cell lengths 5.602, 6.060, 9.903 Å; angles 90.00, 123.71, 90.00 degrees
Element x y z (fractional)
Sr1 0.000 0.000 0.000
Sr2 0.000 0.500 0.500
Ca1 0.218 0.049 0.728
Ca2 0.218 0.451 0.228
Ca3 0.782 0.549 0.772
Ca4 0.782 0.951 0.272
Ru1 0.500 0.000 0.500
Ru2 0.500 0.500 0.000
O1 0.171 0.160 0.463
O2 0.171 0.340 0.963
O3 0.254 0.737 0.406
O4 0.254 0.763 0.906
O5 0.407 0.088 0.285
O6 0.407 0.412 0.785
O7 0.593 0.588 0.215
O8 0.593 0.912 0.715
O9 0.746 0.237 0.094
O10 0.746 0.263 0.594
O11 0.829 0.660 0.037
O12 0.829 0.840 0.537

***

Entry from Alexandria via LeMat-Bulk: an optimized crystal structure of CePmRu2 (PBE).

Calculated values
* DFT formation energy: -0.06 eV per formula unit
* energy above the lowest structure with this stoichiometry: 1.070 eV per formula unit

Cell lengths 3.529, 3.529, 24.132 Å; angles 90.00, 90.00, 120.00 degrees
Element x y z (fractional)
Ce1 0.000 0.000 0.000
Ce2 0.333 0.667 0.667
Ce3 0.667 0.333 0.333
Pm1 0.000 0.000 0.500
Pm2 0.333 0.667 0.167
Pm3 0.667 0.333 0.833
Ru1 0.000 0.000 0.258
Ru2 0.000 0.000 0.742
Ru3 0.333 0.667 0.409
Ru4 0.333 0.667 0.924
Ru5 0.667 0.333 0.076
Ru6 0.667 0.333 0.591

***

Entry from Alexandria via LeMat-Bulk: an optimized crystal structure of SmSbPd6 (PBE).

Calculated values
* energy above the lowest structure with this stoichiometry: 0.000 eV per formula unit
* ΔE_f (raw): -572 meV per atom

Cell lengths 5.795, 5.795, 4.138 Å; angles 90.00, 90.00, 90.00 degrees
Element x y z (fractional)
Sm1 0.000 0.000 0.000
Sb1 0.500 0.500 0.000
Pd1 0.000 0.500 0.000
Pd2 0.255 0.255 0.500
Pd3 0.255 0.745 0.500
Pd4 0.500 0.000 0.000
Pd5 0.745 0.255 0.500
Pd6 0.745 0.745 0.500

***

Entry from Alexandria via LeMat-Bulk: an optimized crystal structure of Pm4Te2PtS (PBE).

Calculated values
* ΔE_f (raw): -1494 meV per atom

Cell lengths 7.477, 4.199, 7.651 Å; angles 90.00, 108.97, 90.00 degrees
Element x y z (fractional)
Pm1 0.231 0.000 0.214
Pm2 0.266 0.500 0.781
Pm3 0.734 0.500 0.219
Pm4 0.769 0.000 0.786
Te1 0.000 0.000 0.500
Te2 0.500 0.500 0.500
Pt1 0.000 0.500 0.000
S1 0.500 0.000 0.000

***

Entry from Alexandria via LeMat-Bulk: an optimized crystal structure of BaPu2Ge6 (PBE).

Calculated values
* DFT formation energy: -2.78 eV per formula unit

Cell lengths 7.839, 7.839, 7.839 Å; angles 149.43, 106.41, 81.75 degrees
Element x y z (fractional)
Ba1 0.000 0.000 0.000
Pu1 0.356 0.856 0.500
Pu2 0.644 0.144 0.500
Ge1 0.035 0.316 0.720
Ge2 0.350 0.500 0.850
Ge3 0.404 0.684 0.720
Ge4 0.596 0.316 0.280
Ge5 0.650 0.500 0.150
Ge6 0.965 0.684 0.280

***

Entry from Alexandria via LeMat-Bulk: an optimized crystal structure of MnAg2Mo (PBE).

Calculated values
* DFT formation energy: 2.11 eV per formula unit
* energy above the lowest structure with this stoichiometry: 0.921 eV per formula unit

Cell lengths 3.806, 3.806, 8.913 Å; angles 90.00, 90.00, 90.00 degrees
Element x y z (fractional)
Mn1 0.000 0.000 0.000
Mn2 0.500 0.500 0.500
Ag1 0.000 0.500 0.250
Ag2 0.000 0.500 0.750
Ag3 0.500 0.000 0.250
Ag4 0.500 0.000 0.750
Mo1 0.000 0.000 0.500
Mo2 0.500 0.500 0.000

***

Entry from Alexandria via LeMat-Bulk: an optimized crystal structure of SrY3Ru (PBE).

Calculated values
* DFT formation energy: 0.44 eV per formula unit
* energy above the lowest structure with this stoichiometry: 1.320 eV per formula unit

Cell lengths 10.383, 10.383, 10.383 Å; angles 60.00, 60.00, 60.00 degrees
Element x y z (fractional)
Sr1 0.000 0.000 0.000
Sr2 0.000 0.000 0.500
Sr3 0.000 0.500 0.000
Sr4 0.500 0.000 0.000
Y1 0.194 0.194 0.556
Y2 0.194 0.556 0.194
Y3 0.194 0.556 0.556
Y4 0.444 0.444 0.806
Y5 0.444 0.806 0.444
Y6 0.444 0.806 0.806
Y7 0.556 0.194 0.194
Y8 0.556 0.194 0.556
Y9 0.556 0.556 0.194
Y10 0.806 0.444 0.444
Y11 0.806 0.444 0.806
Y12 0.806 0.806 0.444
Ru1 0.000 0.500 0.500
Ru2 0.500 0.000 0.500
Ru3 0.500 0.500 0.000
Ru4 0.500 0.500 0.500

***

no.,calculated volume (Å³ per atom)
1,17.6
2,30.2
3,13.5
4,15.3
5,21.7
6,9.5
7,13.4
8,60.3
9,26.4
10,34.3
11,34.2
12,16.2
13,28.0
14,30.3
15,36.4
16,30.3
17,14.0
18,21.7
19,17.4
20,28.4
21,25.6
22,16.1
23,39.6